58
Lattice="5.8546 0.0097 -0.0044 -2.9195 5.0747 -0.0044 0.0240 0.0417 23.8386" Properties=species:S:1:pos:R:3 comment="KFe11O17 PBE with a Hubbard U optimized geometry" final_energy_ev_per_atom=-6.21 pbc="T T T"
K 2.9775 1.6983 11.9149
K -0.0097 3.3949 -0.0044
Fe 4.4105 0.8805 8.3488
Fe 4.4024 0.8664 15.4810
Fe 2.9526 1.7353 21.9961
Fe 2.9424 1.7322 18.5087
Fe 0.0250 0.0378 17.9043
Fe 2.9330 1.7014 1.8337
Fe 2.9388 5.0855 5.9255
Fe 1.4863 0.9315 8.4114
Fe 1.4683 0.8464 15.4774
Fe 2.9306 1.7118 5.3211
Fe 2.9605 3.4312 8.3524
Fe 2.8957 3.3731 15.4185
Fe 0.0211 1.7303 20.3174
Fe 0.0065 1.6998 3.5199
Fe 1.4904 4.2703 20.3100
Fe 0.0141 3.4508 10.0827
Fe 1.4713 4.2424 3.5124
Fe -0.0221 3.3881 13.7471
Fe 0.0289 3.4229 17.2913
Fe 0.0094 3.3892 6.5385
Fe -1.4381 4.2669 20.3127
Fe -1.4550 4.2375 3.5172
O 4.5346 0.8158 19.0957
O 4.5204 0.7913 4.7341
O 2.9606 0.1377 9.3608
O 2.9414 0.0732 14.5296
O 2.9413 1.6914 -0.0044
O 5.8720 0.0471 21.2262
O 1.3527 0.8186 19.1089
O 5.8549 0.0175 2.6037
O 0.0333 0.0389 9.2787
O 1.3448 0.7815 4.7338
O 2.9420 5.0777 14.5511
O 4.3205 2.4934 14.4690
O 4.3667 2.5423 9.3003
O 2.9317 1.7226 7.2359
O 2.9335 1.7258 16.5939
O 0.0078 1.5538 7.1233
O 0.0113 1.5786 16.6846
O 1.5770 2.6372 9.4207
O 1.4641 2.4415 14.4092
O 1.3984 2.5881 2.5438
O 1.4172 2.6207 21.2861
O 2.9549 3.5707 19.0961
O 2.9267 3.5452 4.7210
O 0.0275 3.4171 19.2023
O 0.0137 3.3933 4.6275
O -1.3890 2.5841 2.5493
O -1.3705 2.6173 21.2872
O 1.5978 4.3268 7.1453
O 1.6175 4.3422 16.7065
O -0.1293 3.4917 11.9149
O 0.0267 5.0366 21.2805
O 0.0073 5.0039 2.5427
O -1.5850 4.2666 7.0827
O -1.5283 4.3648 16.7472